Record 1
VASP calculation (PBE-GGA) on a relaxed La6SmHo2 crystal.

## Properties
Energy relative to the elements = 0.1161 eV/atom

The structure in extended XYZ format:
```
9
Lattice="3.702 0.000 0.001 0.000 9.244 4.223 -0.001 1.700 10.019" Properties=species:S:1:pos:R:3 pbc="T T T"
La 1.850 4.145 8.140
La 0.000 4.956 3.758
Ho 1.850 9.025 11.746
Sm 0.000 0.000 0.000
La 3.701 5.987 10.484
La 1.851 6.797 6.102
La -0.001 2.355 5.757
La 0.000 8.588 8.485
Ho 1.851 1.918 2.496
```



Record 2
VASP calculation (PBE-GGA) on a relaxed Sc2TaTe crystal.

## Properties
ΔE to the lowest computed polymorph = 210 meV/atom
Formation energy from raw total energies = -0.47 eV per formula unit

The structure in extended XYZ format:
```
4
Lattice="5.201 -0.002 0.007 4.058 3.252 0.007 1.207 0.424 5.034" Properties=species:S:1:pos:R:3 pbc="T T T"
Sc 9.203 3.230 0.065
Sc 5.289 1.856 2.474
Ta 7.850 2.755 3.787
Te 2.617 0.918 1.262
```



Record 3
VASP calculation (PBE-GGA) on a relaxed MnRe4 crystal.

## Properties
Energy relative to the elements = 0.0781 eV/atom
ΔE to the lowest computed polymorph = 0 meV/atom

The structure in extended XYZ format:
```
5
Lattice="1.524 -3.924 2.147 -4.354 1.697 -0.699 1.183 -1.021 -4.460" Properties=species:S:1:pos:R:3 pbc="T T T"
Re 0.984 -2.839 -2.444
Mn 0.000 0.000 0.000
Re -2.630 -0.408 -0.568
Re -0.710 -0.739 -2.524
Re -0.937 -2.509 -0.487
```



Repeat the third record exactly.
VASP calculation (PBE-GGA) on a relaxed MnRe4 crystal.

## Properties
Energy relative to the elements = 0.0781 eV/atom
ΔE to the lowest computed polymorph = 0 meV/atom

The structure in extended XYZ format:
```
5
Lattice="1.524 -3.924 2.147 -4.354 1.697 -0.699 1.183 -1.021 -4.460" Properties=species:S:1:pos:R:3 pbc="T T T"
Re 0.984 -2.839 -2.444
Mn 0.000 0.000 0.000
Re -2.630 -0.408 -0.568
Re -0.710 -0.739 -2.524
Re -0.937 -2.509 -0.487
```